## Sr8Cd (PBE)

Data for crystalline Sr8Cd at its relaxed geometry.

```
Sr8Cd
1.0
-6.2513 6.2513 2.8276
6.2513 -6.2513 2.8276
6.2513 6.2513 -2.8276
Sr Cd
8 1
Direct
0.0000 0.3267 0.3267 Sr
0.0000 0.6733 0.6733 Sr
0.3267 0.0000 0.3267 Sr
0.3429 0.3429 0.6858 Sr
0.3429 0.6571 0.0000 Sr
0.6571 0.3429 0.0000 Sr
0.6571 0.6571 0.3142 Sr
0.6733 0.0000 0.6733 Sr
0.0000 0.0000 0.0000 Cd
```

Properties
D(E_F): 9.7 states/eV/cell
Formation energy: -0.014 eV per atom
Size of the total moment: 0.0 μB per cell

***

## CePmAgGe (PBE)

Data for crystalline CePmAgGe at its relaxed geometry.

```
CePmAgGe
1.0
7.3864 0.0000 0.0000
0.0000 7.3864 0.0000
0.0000 0.0000 7.3864
Ce Pm Ag Ge
4 4 4 4
Direct
0.0000 0.0000 0.0000 Ce
0.0000 0.5000 0.5000 Ce
0.5000 0.0000 0.5000 Ce
0.5000 0.5000 0.0000 Ce
0.0000 0.0000 0.5000 Pm
0.0000 0.5000 0.0000 Pm
0.5000 0.0000 0.0000 Pm
0.5000 0.5000 0.5000 Pm
0.2500 0.2500 0.2500 Ag
0.2500 0.7500 0.7500 Ag
0.7500 0.2500 0.7500 Ag
0.7500 0.7500 0.2500 Ag
0.2500 0.2500 0.7500 Ge
0.2500 0.7500 0.2500 Ge
0.7500 0.2500 0.2500 Ge
0.7500 0.7500 0.7500 Ge
```

Properties
D(E_F): 37.3 states/eV/cell
Formation energy: -0.429 eV per atom
Size of the total moment: 7.6 μB per cell